# 1
Entry from Alexandria: crystalline Ce3GdTc at its relaxed geometry (PBE-GGA).

The structure belongs to space group Pm-3m (No. 221); the cell edges are 5.369, 5.369 and 5.369 Å and the angles 90.00°, 90.00° and 90.00°. The asymmetric unit holds Ce at (0.000, 0.000, 0.500), Gd at (0.500, 0.500, 0.500) and Tc at (0.000, 0.000, 0.000).

As for the formation energy from the elements: 0.114 eV/atom.


# 2
Entry from Alexandria: crystalline CeGd3Tc at its relaxed geometry (PBE-GGA).

The structure belongs to space group Pm-3m (No. 221); the cell edges are 5.433, 5.433 and 5.433 Å and the angles 90.00°, 90.00° and 90.00°. The asymmetric unit holds Ce at (0.000, 0.000, 0.000), Gd at (0.000, 0.500, 0.500) and Tc at (0.500, 0.500, 0.500).

As for the formation energy from the elements: 0.205 eV/atom.


# 3
Entry from Alexandria: crystalline CeGdTlTc at its relaxed geometry (PBE-GGA).

The structure belongs to space group F-43m (No. 216); the cell edges are 7.302, 7.302 and 7.302 Å and the angles 90.00°, 90.00° and 90.00°. The asymmetric unit holds Ce at (0.000, 0.000, 0.000), Gd at (0.000, 0.000, 0.500), Tl at (0.250, 0.250, 0.750) and Tc at (0.250, 0.250, 0.250).

As for the formation energy from the elements: 0.003 eV/atom.


| no. | energy (eV/cell) |
| --- | --- |
| 1 | -41.7 |
| 2 | -57.5 |
| 3 | -130.9 |